Density functional theory data (PBE) for crystalline SiMoW at its relaxed geometry. Values from VASP.

Its space group is F-43m. The calculation puts the energy above the most stable polymorph in this dataset at 547 meV/atom. Its density of states at the Fermi level is 4.2 states/eV/f.u. The value obtained for the total magnetic moment is 0.00 Bohr magnetons per cell. The formation energy (no corrections) comes out at 0.471 eV per atom. As for the volume: 16.68 Å³/atom. The crystal system is cubic.

```
&SYSTEM
  ibrav = 0, nat = 3, ntyp = 3
/
ATOMIC_SPECIES
W 183.84 W.upf
Mo 95.94 Mo.upf
Si 28.09 Si.upf
ATOMIC_POSITIONS crystal
W 0.0000 0.0000 0.0000
Mo 0.5000 0.5000 0.5000
Si 0.2500 0.2500 0.2500
CELL_PARAMETERS angstrom
-2.0264 -3.1202 1.8082
-2.3059 -2.5667 -2.2817
1.2363 -3.8997 -0.6123
```